[1]
Density functional theory data (GGA-PBE) for crystalline CoSi2Tc at its relaxed geometry.

Cell: 5.8713 5.8713 5.8713 Å, 90.00 90.00 90.00°
Closest atoms and distances in Å follow each position.
Element x y z (fractional)
Co: 0.0000 0.0000 0.0000  4 Tc 2.54, 4 Si 2.54
Co: 0.0000 0.5000 0.5000  4 Tc 2.54, 4 Si 2.54
Co: 0.5000 0.0000 0.5000  4 Tc 2.54, 4 Si 2.54
Co: 0.5000 0.5000 0.0000  4 Tc 2.54, 4 Si 2.54
Si: 0.0000 0.0000 0.5000  4 Tc 2.54, 4 Si 2.54
Si: 0.0000 0.5000 0.0000  4 Tc 2.54, 4 Si 2.54
Si: 0.2500 0.2500 0.2500  4 Co 2.54, 4 Si 2.54
Si: 0.2500 0.7500 0.7500  4 Co 2.54, 4 Si 2.54
Si: 0.5000 0.0000 0.0000  4 Tc 2.54, 4 Si 2.54
Si: 0.5000 0.5000 0.5000  4 Tc 2.54, 4 Si 2.54
Si: 0.7500 0.2500 0.7500  4 Co 2.54, 4 Si 2.54
Si: 0.7500 0.7500 0.2500  4 Co 2.54, 4 Si 2.54
Tc: 0.2500 0.2500 0.7500  4 Co 2.54, 4 Si 2.54
Tc: 0.2500 0.7500 0.2500  4 Co 2.54, 4 Si 2.54
Tc: 0.7500 0.2500 0.2500  4 Co 2.54, 4 Si 2.54
Tc: 0.7500 0.7500 0.7500  4 Co 2.54, 4 Si 2.54

Properties
Total magnetization, μB per formula unit: 0.01
Total DFT energy (no corrections), eV per cell: -111.22
Space-group type: F-43m (216)

***

[2]
Density functional theory data (GGA-PBE) for crystalline ZnCoSiTc at its relaxed geometry.

Cell: 5.8370 5.8370 5.8370 Å, 90.00 90.00 90.00°
Closest atoms and distances in Å follow each position.
Element x y z (fractional)
Zn: 0.0000 0.0000 0.0000  4 Co 2.53, 4 Tc 2.53
Zn: 0.0000 0.5000 0.5000  4 Co 2.53, 4 Tc 2.53
Zn: 0.5000 0.0000 0.5000  4 Co 2.53, 4 Tc 2.53
Zn: 0.5000 0.5000 0.0000  4 Co 2.53, 4 Tc 2.53
Co: 0.2500 0.2500 0.7500  4 Si 2.53, 4 Zn 2.53
Co: 0.2500 0.7500 0.2500  4 Si 2.53, 4 Zn 2.53
Co: 0.7500 0.2500 0.2500  4 Si 2.53, 4 Zn 2.53
Co: 0.7500 0.7500 0.7500  4 Zn 2.53, 4 Si 2.53
Si: 0.0000 0.0000 0.5000  4 Tc 2.53, 4 Co 2.53
Si: 0.0000 0.5000 0.0000  4 Tc 2.53, 4 Co 2.53
Si: 0.5000 0.0000 0.0000  4 Tc 2.53, 4 Co 2.53
Si: 0.5000 0.5000 0.5000  4 Tc 2.53, 4 Co 2.53
Tc: 0.2500 0.2500 0.2500  4 Zn 2.53, 4 Si 2.53
Tc: 0.2500 0.7500 0.7500  4 Si 2.53, 4 Zn 2.53
Tc: 0.7500 0.2500 0.7500  4 Si 2.53, 4 Zn 2.53
Tc: 0.7500 0.7500 0.2500  4 Si 2.53, 4 Zn 2.53

Properties
Polymorph energy (0 for the lowest one), eV/f.u.: 0.00
Total magnetization, μB per formula unit: 0.58
Space-group type: F-43m (216)

***

[3]
Density functional theory data (GGA-PBE) for crystalline ZnCoSiTc at its relaxed geometry.

Cell: 5.8964 5.8964 5.8964 Å, 90.00 90.00 90.00°
Closest atoms and distances in Å follow each position.
Element x y z (fractional)
Zn: 0.0000 0.0000 0.0000  4 Tc 2.55, 4 Si 2.55
Zn: 0.0000 0.5000 0.5000  4 Tc 2.55, 4 Si 2.55
Zn: 0.5000 0.0000 0.5000  4 Tc 2.55, 4 Si 2.55
Zn: 0.5000 0.5000 0.0000  4 Tc 2.55, 4 Si 2.55
Co: 0.0000 0.0000 0.5000  4 Tc 2.55, 4 Si 2.55
Co: 0.0000 0.5000 0.0000  4 Tc 2.55, 4 Si 2.55
Co: 0.5000 0.0000 0.0000  4 Tc 2.55, 4 Si 2.55
Co: 0.5000 0.5000 0.5000  4 Tc 2.55, 4 Si 2.55
Si: 0.2500 0.2500 0.2500  4 Co 2.55, 4 Zn 2.55
Si: 0.2500 0.7500 0.7500  4 Co 2.55, 4 Zn 2.55
Si: 0.7500 0.2500 0.7500  4 Co 2.55, 4 Zn 2.55
Si: 0.7500 0.7500 0.2500  4 Co 2.55, 4 Zn 2.55
Tc: 0.2500 0.2500 0.7500  4 Co 2.55, 4 Zn 2.55
Tc: 0.2500 0.7500 0.2500  4 Co 2.55, 4 Zn 2.55
Tc: 0.7500 0.2500 0.2500  4 Co 2.55, 4 Zn 2.55
Tc: 0.7500 0.7500 0.7500  4 Co 2.55, 4 Zn 2.55

Properties
Polymorph energy (0 for the lowest one), eV/f.u.: 1.51
Total magnetization, μB per formula unit: 1.58
Space-group type: F-43m (216)

***

[4]
Density functional theory data (GGA-PBE) for crystalline CoSi2Te at its relaxed geometry.

Cell: 6.3867 6.3867 6.3867 Å, 90.00 90.00 90.00°
Closest atoms and distances in Å follow each position.
Element x y z (fractional)
Co: 0.0000 0.0000 0.0000  4 Si 2.77, 4 Te 2.77
Co: 0.0000 0.5000 0.5000  4 Te 2.77, 4 Si 2.77
Co: 0.5000 0.0000 0.5000  4 Te 2.77, 4 Si 2.77
Co: 0.5000 0.5000 0.0000  4 Te 2.77, 4 Si 2.77
Si: 0.0000 0.0000 0.5000  4 Te 2.77, 4 Si 2.77
Si: 0.0000 0.5000 0.0000  4 Te 2.77, 4 Si 2.77
Si: 0.2500 0.2500 0.2500  4 Co 2.77, 4 Si 2.77
Si: 0.2500 0.7500 0.7500  4 Co 2.77, 4 Si 2.77
Si: 0.5000 0.0000 0.0000  4 Te 2.77, 4 Si 2.77
Si: 0.5000 0.5000 0.5000  4 Te 2.77, 4 Si 2.77
Si: 0.7500 0.2500 0.7500  4 Co 2.77, 4 Si 2.77
Si: 0.7500 0.7500 0.2500  4 Co 2.77, 4 Si 2.77
Te: 0.2500 0.2500 0.7500  4 Co 2.77, 4 Si 2.77
Te: 0.2500 0.7500 0.2500  4 Co 2.77, 4 Si 2.77
Te: 0.7500 0.2500 0.2500  4 Co 2.77, 4 Si 2.77
Te: 0.7500 0.7500 0.7500  4 Co 2.77, 4 Si 2.77

Properties
Total magnetization, μB per formula unit: 0.68
Total DFT energy (no corrections), eV per cell: -74.39
Space-group type: F-43m (216)

***

[5]
Density functional theory data (GGA-PBE) for crystalline CoSiTe at its relaxed geometry.

Cell: 7.9296 4.0284 6.3151 Å, 90.00 90.00 90.00°
Closest atoms and distances in Å follow each position.
Element x y z (fractional)
Co: 0.0952 0.2500 0.0839  4 Si 2.49-2.54, 3 Te 2.52-2.55, 2 Co 2.73
Co: 0.4048 0.7500 0.5839  4 Si 2.49-2.54, 3 Te 2.52-2.55, 2 Co 2.73
Co: 0.5952 0.2500 0.4161  4 Si 2.49-2.54, 3 Te 2.52-2.55, 2 Co 2.73
Co: 0.9048 0.7500 0.9161  4 Si 2.49-2.54, 3 Te 2.52-2.55, 2 Co 2.73
Si: 0.2192 0.7500 0.9127  4 Co 2.49-2.54
Si: 0.2808 0.2500 0.4127  4 Co 2.49-2.54
Si: 0.7192 0.7500 0.5873  4 Co 2.49-2.54
Si: 0.7808 0.2500 0.0873  4 Co 2.49-2.54
Te: 0.0022 0.2500 0.7021  3 Co 2.52-2.55
Te: 0.4978 0.7500 0.2021  3 Co 2.52-2.55
Te: 0.5022 0.2500 0.7979  3 Co 2.52-2.55
Te: 0.9978 0.7500 0.2979  3 Co 2.52-2.55

Properties
Polymorph energy (0 for the lowest one), eV/f.u.: 0.15
Total magnetization, μB per formula unit: 0.00
Space-group type: Pnma (62)

***

[6]
Density functional theory data (GGA-PBE) for crystalline ThCo2Si2 at its relaxed geometry.

Cell: 4.0312 4.0312 9.6231 Å, 90.00 90.00 90.00°
Closest atoms and distances in Å follow each position.
Element x y z (fractional)
Th: 0.0000 0.0000 0.0000  8 Si 3.13, 8 Co 3.14
Th: 0.5000 0.5000 0.5000  8 Si 3.13, 8 Co 3.14
Co: 0.0000 0.5000 0.2500  4 Si 2.31
Co: 0.0000 0.5000 0.7500  4 Si 2.31
Co: 0.5000 0.0000 0.2500  4 Si 2.31
Co: 0.5000 0.0000 0.7500  4 Si 2.31
Si: 0.0000 0.0000 0.3668  4 Co 2.31, 1 Si 2.56
Si: 0.0000 0.0000 0.6332  4 Co 2.31, 1 Si 2.56
Si: 0.5000 0.5000 0.1332  4 Co 2.31, 1 Si 2.56
Si: 0.5000 0.5000 0.8668  4 Co 2.31, 1 Si 2.56

Properties
Total magnetization, μB per formula unit: 1.02
Total DFT energy (no corrections), eV per cell: -72.99
Space-group type: I4/mmm (139)

***

[7]
Density functional theory data (GGA-PBE) for crystalline ThCoSi2 at its relaxed geometry.

Cell: 4.1094 16.4292 4.0773 Å, 90.00 90.00 90.00°
Closest atoms and distances in Å follow each position.
Element x y z (fractional)
Th: 0.0000 0.1081 0.2500  10 Si 3.09-3.20, 4 Co 3.12
Th: 0.0000 0.8919 0.7500  10 Si 3.09-3.20, 4 Co 3.12
Th: 0.5000 0.3919 0.7500  10 Si 3.09-3.20, 4 Co 3.12
Th: 0.5000 0.6081 0.2500  10 Si 3.09-3.20, 4 Co 3.12
Co: 0.0000 0.3208 0.2500  5 Si 2.27-2.36
Co: 0.0000 0.6792 0.7500  5 Si 2.27-2.36
Co: 0.5000 0.1792 0.7500  5 Si 2.27-2.36
Co: 0.5000 0.8208 0.2500  5 Si 2.27-2.36
Si: 0.0000 0.2496 0.7500  4 Co 2.35-2.36
Si: 0.0000 0.4592 0.2500  1 Co 2.27, 2 Si 2.44
Si: 0.0000 0.5408 0.7500  1 Co 2.27, 2 Si 2.44
Si: 0.0000 0.7504 0.2500  4 Co 2.35-2.36
Si: 0.5000 0.0408 0.7500  1 Co 2.27, 2 Si 2.44
Si: 0.5000 0.2504 0.2500  4 Co 2.35-2.36
Si: 0.5000 0.7496 0.7500  4 Co 2.35-2.36
Si: 0.5000 0.9592 0.2500  1 Co 2.27, 2 Si 2.44

Properties
Total magnetization, μB per formula unit: 0.00
Total DFT energy (no corrections), eV per cell: -114.75
Space-group type: Cmcm (63)

***

[8]
Density functional theory data (GGA-PBE) for crystalline Tl2Co2Si at its relaxed geometry.

Cell: 3.3583 3.3583 16.6595 Å, 90.00 90.00 90.00°
Closest atoms and distances in Å follow each position.
Element x y z (fractional)
Tl: 0.0000 0.0000 0.1141  4 Co 2.82, 4 Si 3.04
Tl: 0.0000 0.0000 0.8859  4 Co 2.82, 4 Si 3.04
Tl: 0.5000 0.5000 0.3859  4 Co 2.82, 4 Si 3.04
Tl: 0.5000 0.5000 0.6141  4 Co 2.82, 4 Si 3.04
Co: 0.0000 0.5000 0.2500  4 Co 2.37
Co: 0.0000 0.5000 0.7500  4 Co 2.37
Co: 0.5000 0.0000 0.2500  4 Co 2.37
Co: 0.5000 0.0000 0.7500  4 Co 2.37
Si: 0.0000 0.0000 0.5000  8 Tl 3.04, 4 Si 3.36
Si: 0.5000 0.5000 0.0000  8 Tl 3.04, 4 Si 3.36

Properties
Total magnetization, μB per formula unit: 3.37
Total DFT energy (no corrections), eV per cell: -42.46
Space-group type: I4/mmm (139)

***

[9]
Density functional theory data (GGA-PBE) for crystalline TlCoSi2 at its relaxed geometry.

Cell: 6.4280 6.4280 6.4280 Å, 90.00 90.00 90.00°
Closest atoms and distances in Å follow each position.
Element x y z (fractional)
Tl: 0.0000 0.0000 0.0000  4 Co 2.78, 4 Si 2.78
Tl: 0.0000 0.5000 0.5000  4 Co 2.78, 4 Si 2.78
Tl: 0.5000 0.0000 0.5000  4 Co 2.78, 4 Si 2.78
Tl: 0.5000 0.5000 0.0000  4 Co 2.78, 4 Si 2.78
Co: 0.2500 0.2500 0.2500  4 Si 2.78, 4 Tl 2.78
Co: 0.2500 0.7500 0.7500  4 Si 2.78, 4 Tl 2.78
Co: 0.7500 0.2500 0.7500  4 Si 2.78, 4 Tl 2.78
Co: 0.7500 0.7500 0.2500  4 Si 2.78, 4 Tl 2.78
Si: 0.0000 0.0000 0.5000  4 Si 2.78, 4 Co 2.78
Si: 0.0000 0.5000 0.0000  4 Si 2.78, 4 Co 2.78
Si: 0.2500 0.2500 0.7500  4 Tl 2.78, 4 Si 2.78
Si: 0.2500 0.7500 0.2500  4 Tl 2.78, 4 Si 2.78
Si: 0.5000 0.0000 0.0000  4 Si 2.78, 4 Co 2.78
Si: 0.5000 0.5000 0.5000  4 Si 2.78, 4 Co 2.78
Si: 0.7500 0.2500 0.2500  4 Tl 2.78, 4 Si 2.78
Si: 0.7500 0.7500 0.7500  4 Tl 2.78, 4 Si 2.78

Properties
Total magnetization, μB per formula unit: 0.02
Total DFT energy (no corrections), eV per cell: -69.41
Space-group type: F-43m (216)

***

[10]
Density functional theory data (GGA-PBE) for crystalline TlCoSi at its relaxed geometry.

Cell: 5.9368 5.9368 5.9368 Å, 90.00 90.00 90.00°
Closest atoms and distances in Å follow each position.
Element x y z (fractional)
Tl: 0.0000 0.0000 0.0000  4 Co 2.57
Tl: 0.0000 0.5000 0.5000  4 Co 2.57
Tl: 0.5000 0.0000 0.5000  4 Co 2.57
Tl: 0.5000 0.5000 0.0000  4 Co 2.57
Co: 0.2500 0.2500 0.7500  4 Tl 2.57, 4 Si 2.57
Co: 0.2500 0.7500 0.2500  4 Tl 2.57, 4 Si 2.57
Co: 0.7500 0.2500 0.2500  4 Tl 2.57, 4 Si 2.57
Co: 0.7500 0.7500 0.7500  4 Tl 2.57, 4 Si 2.57
Si: 0.0000 0.0000 0.5000  4 Co 2.57
Si: 0.0000 0.5000 0.0000  4 Co 2.57
Si: 0.5000 0.0000 0.0000  4 Co 2.57
Si: 0.5000 0.5000 0.5000  4 Co 2.57

Properties
Polymorph energy (0 for the lowest one), eV/f.u.: 0.00
Total magnetization, μB per formula unit: 0.01
Space-group type: F-43m (216)

***

[11]
Density functional theory data (GGA-PBE) for crystalline Tm5Co4Si14 at its relaxed geometry.

Cell: 12.2790 7.7682 7.7068 Å, 90.00 98.88 90.00°
Closest atoms and distances in Å follow each position.
Element x y z (fractional)
Tm: 0.0000 0.0000 0.0000  12 Si 2.88-3.03, 6 Co 3.03-3.06
Tm: 0.0000 0.5000 0.5000  12 Si 2.88-3.03, 6 Co 3.03-3.06
Tm: 0.3651 0.2483 0.3421  10 Si 2.88-3.07, 2 Co 3.07-3.08
Tm: 0.3651 0.2517 0.8421  10 Si 2.88-3.07, 2 Co 3.07-3.08
Tm: 0.3653 0.7490 0.3398  10 Si 2.86-3.06, 2 Co 3.07-3.08
Tm: 0.3653 0.7510 0.8398  10 Si 2.86-3.06, 2 Co 3.07-3.08
Tm: 0.6347 0.2490 0.1602  10 Si 2.86-3.06, 2 Co 3.07-3.08
Tm: 0.6347 0.2510 0.6602  10 Si 2.86-3.06, 2 Co 3.07-3.08
Tm: 0.6349 0.7483 0.1579  10 Si 2.88-3.07, 2 Co 3.07-3.08
Tm: 0.6349 0.7517 0.6579  10 Si 2.88-3.07, 2 Co 3.07-3.08
Co: 0.9998 0.1263 0.6272  7 Si 2.26-2.48
Co: 0.9998 0.3737 0.1272  7 Si 2.26-2.48
Co: 0.0002 0.6263 0.8728  7 Si 2.26-2.48
Co: 0.0002 0.8737 0.3728  7 Si 2.26-2.48
Co: 0.2497 0.9997 0.0610  5 Si 2.29-2.31
Co: 0.2497 0.5003 0.5610  5 Si 2.29-2.31
Co: 0.7503 0.0003 0.9390  5 Si 2.29-2.31
Co: 0.7503 0.4997 0.4390  5 Si 2.29-2.31
Si: 0.0004 0.1667 0.3339  3 Co 2.26-2.30
Si: 0.0004 0.3333 0.8339  3 Co 2.26-2.30
Si: 0.9996 0.6667 0.1661  3 Co 2.26-2.30
Si: 0.9996 0.8333 0.6661  3 Co 2.26-2.30
Si: 0.1782 0.0055 0.7689  2 Co 2.29-2.48, 2 Si 2.41-2.53
Si: 0.1781 0.2262 0.5499  2 Co 2.30-2.48, 3 Si 2.41-2.57
Si: 0.1781 0.2738 0.0499  2 Co 2.30-2.48, 3 Si 2.41-2.57
Si: 0.1782 0.4945 0.2689  2 Co 2.29-2.48, 2 Si 2.41-2.53
Si: 0.1780 0.7260 0.0385  2 Co 2.30-2.48, 2 Si 2.41-2.53
Si: 0.1780 0.7740 0.5385  2 Co 2.30-2.48, 2 Si 2.41-2.53
Si: 0.1786 0.5057 0.8185  2 Co 2.29-2.48, 2 Si 2.41-2.54
Si: 0.1786 0.9943 0.3185  2 Co 2.29-2.48, 2 Si 2.41-2.54
Si: 0.4402 0.0002 0.6114  2 Si 2.41-2.43
Si: 0.4403 0.0006 0.1097  1 Co 2.31, 2 Si 2.40-2.41
Si: 0.4403 0.4994 0.6097  1 Co 2.31, 2 Si 2.40-2.41
Si: 0.4402 0.4998 0.1114  2 Si 2.41-2.43
Si: 0.5598 0.9998 0.3886  2 Si 2.41-2.43
Si: 0.5598 0.5002 0.8886  2 Si 2.41-2.43
Si: 0.5597 0.5006 0.3903  1 Co 2.31, 2 Si 2.40-2.41
Si: 0.5597 0.9994 0.8903  1 Co 2.31, 2 Si 2.40-2.41
Si: 0.8214 0.0057 0.6815  2 Co 2.29-2.48, 2 Si 2.41-2.54
Si: 0.8214 0.4943 0.1815  2 Co 2.29-2.48, 2 Si 2.41-2.54
Si: 0.8220 0.2260 0.4615  2 Co 2.30-2.48, 2 Si 2.41-2.53
Si: 0.8220 0.2740 0.9615  2 Co 2.30-2.48, 2 Si 2.41-2.53
Si: 0.8218 0.5055 0.7311  2 Co 2.29-2.48, 2 Si 2.41-2.53
Si: 0.8219 0.7262 0.9501  2 Co 2.30-2.48, 3 Si 2.41-2.57
Si: 0.8219 0.7738 0.4501  2 Co 2.30-2.48, 3 Si 2.41-2.57
Si: 0.8218 0.9945 0.2311  2 Co 2.29-2.48, 2 Si 2.41-2.53

Properties
Total magnetization, μB per formula unit: 0.20
Total DFT energy (no corrections), eV per cell: -283.62
Space-group type: P2_1/c (14)

***

[12]
Density functional theory data (GGA-PBE) for crystalline TmCoSi at its relaxed geometry.

Cell: 7.5990 7.5990 3.0625 Å, 90.00 90.00 120.00°
Closest atoms and distances in Å follow each position.
Element x y z (fractional)
Tm: 0.0000 0.2909 0.0000  4 Si 2.69-2.71, 2 Co 2.79
Tm: 0.2909 0.0000 0.0000  4 Si 2.69-2.71, 2 Co 2.79
Tm: 0.7091 0.7091 0.0000  4 Si 2.69-2.71, 2 Co 2.79
Co: 0.0000 0.5976 0.5000  5 Si 2.78-3.06, 2 Tm 2.79, 2 Co 3.06
Co: 0.4024 0.4024 0.5000  5 Si 2.78-3.06, 2 Tm 2.79, 2 Co 3.06
Co: 0.5976 0.0000 0.5000  5 Si 2.78-3.06, 2 Tm 2.79, 2 Co 3.06
Si: 0.0000 0.0000 0.5000  6 Tm 2.69
Si: 0.3333 0.6667 0.0000  3 Tm 2.71, 6 Co 2.78
Si: 0.6667 0.3333 0.0000  3 Tm 2.71, 6 Co 2.78

Properties
Total magnetization, μB per formula unit: 0.81
Total DFT energy (no corrections), eV per cell: -51.16
Space-group type: P-62m (189)